# Pa3Zn4

A relaxed structure of Pa3Zn4 (PBE, the Open Quantum Materials Database).

abc: 8.584 8.592 4.398
angles: 90.00 90.00 60.01
Last column: magnetic moment on the atom in μB.
Fractional coordinates of all 14 atoms:
Pa 0.147 0.258 0.000  0.07
Pa 0.309 0.576 0.000  0.07
Pa 0.830 0.737 0.000  0.08
Pa 0.377 0.123 0.500  0.07
Pa 0.694 0.643 0.500  0.08
Pa 0.215 0.805 0.500  0.07
Zn 0.958 0.015 0.000  0.00
Zn 0.586 0.170 0.000  0.00
Zn 0.741 0.387 0.000  0.00
Zn 0.429 0.857 0.000  0.00
Zn 0.938 0.211 0.500  0.00
Zn 0.566 0.366 0.500  0.00
Zn 0.095 0.524 0.500  0.00
Zn 0.782 0.994 0.500  0.00

## Properties
Its relative energy among the computed polymorphs is 0.013 eV/atom. The calculation puts the volume at 20.1 Å³/atom. Its total energy is -4.720 eV per atom. The crystal system is monoclinic. Its formation energy is 0.073 eV/atom. As for the space group: P2_1/m, No. 11.